No. 1
A plane-wave DFT calculation with PBE was carried out for a relaxed structure of TiTcW.

- Energy above the most stable polymorph in this dataset: 69 meV per atom
- Mass density: 11.80 g/cm³
- Calculated volume: 15.462 Å³ per atom
- Energy of formation from the pure elements: -0.9 eV/f.u.
- Total moment: 0.00 μB/cell
- SG: Pnma, No. 62

abc: 3.129 6.231 9.518
angles: 90.00 90.00 90.00
Element x y z (fractional)
Ti1 0.750 0.376 0.592
Ti2 0.250 0.124 0.092
Ti3 0.250 0.624 0.408
Ti4 0.750 0.876 0.908
Tc1 0.750 0.373 0.250
Tc2 0.250 0.127 0.750
Tc3 0.250 0.627 0.750
Tc4 0.750 0.873 0.250
W1 0.750 0.376 0.916
W2 0.250 0.124 0.416
W3 0.250 0.624 0.084
W4 0.750 0.876 0.584

***

No. 2
A plane-wave DFT calculation with PBE was carried out for a relaxed structure of MnCrPdN.

- E_form (uncorrected): -0.249 eV/atom
- Energy above the most stable polymorph in this dataset: 0 meV per atom
- Mass density: 7.83 g/cm³
- Calculated volume: 12.047 Å³ per atom
- Total moment: 3.35 μB/cell
- SG: R3m, No. 160

abc: 2.958 2.958 19.081
angles: 90.00 90.00 120.00
Each line ends with the local moment (μB).
Element x y z (fractional)
Mn1 0.000 0.000 0.121  3.23
Mn2 0.333 0.667 0.788  3.23
Mn3 0.667 0.333 0.454  3.23
Cr1 0.000 0.000 0.680  -2.10
Cr2 0.333 0.667 0.346  -2.10
Cr3 0.667 0.333 0.013  -2.10
Pd1 0.000 0.000 0.898  0.02
Pd2 0.333 0.667 0.565  0.02
Pd3 0.667 0.333 0.231  0.02
N1 0.000 0.000 0.392  0.04
N2 0.333 0.667 0.059  0.04
N3 0.667 0.333 0.726  0.04

***

No. 3
A plane-wave DFT calculation with PBE was carried out for a relaxed structure of YZr2SbPb.

- E_form (uncorrected): 0.311 eV/atom
- Mass density: 6.25 g/cm³
- Calculated volume: 31.902 Å³ per atom
- Total moment: 0.00 μB/cell
- SG: P4/mmm, No. 123

abc: 5.341 5.592 5.341
angles: 90.00 90.00 90.00
Element x y z (fractional)
Pb1 0.500 0.500 0.500
Sb1 0.000 0.000 0.000
Y1 0.000 0.500 0.000
Zr1 0.000 0.000 0.500
Zr2 0.500 0.000 0.000

***

No. 4
A plane-wave DFT calculation with PBE was carried out for a relaxed structure of RbGaGe.

- Mass density: 2.35 g/cm³
- Calculated volume: 53.660 Å³ per atom
- Energy of formation from the pure elements: 1.1 eV/f.u.
- Total moment: 0.00 μB/cell
- SG: P6_3/mmc, No. 194

abc: 6.238 6.238 9.553
angles: 90.00 90.00 120.00
Element x y z (fractional)
Ge1 0.000 0.000 0.000
Ge2 0.000 0.000 0.500
Ga1 0.000 0.000 0.250
Ga2 0.000 0.000 0.750
Rb1 0.333 0.667 0.250
Rb2 0.667 0.333 0.750

***

No. 5
A plane-wave DFT calculation with PBE was carried out for a relaxed structure of ZrTl2OsPt.

- Mass density: 9.63 g/cm³
- Calculated volume: 30.533 Å³ per atom
- Energy of formation from the pure elements: 8.6 eV/f.u.
- Total moment: 2.91 μB/cell
- SG: P4/mmm, No. 123

abc: 5.582 4.900 5.582
angles: 90.00 90.00 90.00
Each line ends with the local moment (μB).
Element x y z (fractional)
Tl1 0.000 0.000 0.500  -0.04
Tl2 0.500 0.000 0.000  -0.01
Os1 0.500 0.500 0.500  2.78
Zr1 0.000 0.000 0.000  -0.09
Pt1 0.000 0.500 0.000  0.05

***

No. 6
A plane-wave DFT calculation with PBE was carried out for a relaxed structure of NaMg2AlCl.

- E_form (uncorrected): 0.525 eV/atom
- Mass density: 1.29 g/cm³
- Calculated volume: 34.595 Å³ per atom
- Total moment: 0.00 μB/cell
- SG: P4/mmm, No. 123

abc: 5.608 5.499 5.608
angles: 90.00 90.00 90.00
Element x y z (fractional)
Na1 0.000 0.000 0.000
Mg1 0.000 0.000 0.500
Mg2 0.500 0.000 0.000
Al1 0.000 0.500 0.000
Cl1 0.500 0.500 0.500